! Tb4GeHS2 (PBE, optimized geometry); values from VASP
! raw total energy	-45.0	eV for the cell shown
&SYSTEM
  ibrav = 0, nat = 8, ntyp = 4
/
ATOMIC_SPECIES
Tb 158.93 Tb.upf
Ge 72.64 Ge.upf
H 1.01 H.upf
S 32.06 S.upf
CELL_PARAMETERS angstrom
0.0000 5.5999 3.9641
3.9366 0.0000 3.9641
3.9366 5.5999 0.0000
ATOMIC_POSITIONS crystal
Tb 0.2488 0.7512 0.2488
Tb 0.5060 0.9723 0.4940
Tb 0.7512 0.2488 0.7512
Tb 0.9723 0.5060 0.0277
Ge 0.0070 0.0070 0.9930
H 0.5432 0.5432 0.4568
S 0.2493 0.2493 0.2507
S 0.7493 0.7493 0.7507